Entry 1:
Below is a relaxed structure of ScTeW2, with properties calculated at the GGA-PBE level.

```
ScTeW2
1.0
2.349 1.356 3.836
-2.349 1.356 3.836
0.000 -2.712 3.836
W Sc Te
2 1 1
direct
0.000 0.000 0.000
0.250 0.250 0.250
0.750 0.750 0.750
0.500 0.500 0.500
```

Final energy ... -8.38 eV per atom
SG ... F-43m
Size of the total moment ... 0.13 μB per formula unit



Entry 2:
Below is a relaxed structure of ScTe2W, with properties calculated at the GGA-PBE level.

```
ScTe2W
1.0
-0.414 -4.436 -2.179
-1.607 -3.902 2.605
-4.487 -1.909 -0.906
W Te Sc
1 2 1
direct
0.500 0.500 0.500
0.000 0.000 0.000
0.750 0.750 0.750
0.250 0.250 0.250
```

Final energy ... -5.83 eV per atom
SG ... F-43m
Size of the total moment ... 0.02 μB per formula unit



Entry 3:
Below is a relaxed structure of ScTeW, with properties calculated at the GGA-PBE level.

```
ScTeW
1.0
0.000 3.229 3.229
3.229 0.000 3.229
3.229 3.229 0.000
Te Sc W
1 1 1
direct
0.750 0.750 0.750
0.250 0.250 0.250
0.000 0.000 0.000
```

SG ... F-43m
Energy above the lowest structure with this stoichiometry ... 0.000 eV/atom
Size of the total moment ... 0.15 μB per formula unit



Entry 4:
Below is a relaxed structure of ScZn2Te, with properties calculated at the GGA-PBE level.

```
ScZn2Te
1.0
2.048 1.538 4.202
0.461 4.817 0.894
-2.778 2.139 3.452
Sc Zn Te
1 2 1
direct
0.000 0.000 0.000
0.500 0.500 0.500
0.250 0.250 0.250
0.750 0.750 0.750
```

Final energy ... -3.15 eV per atom
SG ... F-43m
Size of the total moment ... 0.00 μB per formula unit



Entry 5:
Below is a relaxed structure of ThScTl, with properties calculated at the GGA-PBE level.

```
ThScTl
1.0
3.834 -3.337 0.618
-0.328 -3.641 3.584
-0.619 -4.894 -1.371
Sc Th Tl
1 1 1
direct
0.250 0.250 0.250
0.750 0.750 0.750
0.000 0.000 0.000
```

SG ... F-43m
Energy above the lowest structure with this stoichiometry ... 0.000 eV/atom
Size of the total moment ... 0.63 μB per formula unit



Entry 6:
Below is a relaxed structure of TmThSc, with properties calculated at the GGA-PBE level.

```
TmThSc
1.0
0.000 3.709 3.709
3.709 0.000 3.709
3.709 3.709 0.000
Tm Th Sc
1 1 1
direct
0.750 0.750 0.750
0.250 0.250 0.250
0.000 0.000 0.000
```

SG ... F-43m
Energy of formation ... 738 meV per atom
Energy above the lowest structure with this stoichiometry ... 0.000 eV/atom
Size of the total moment ... 0.04 μB per formula unit



Entry 7:
Below is a relaxed structure of ThScU, with properties calculated at the GGA-PBE level.

```
ThScU
1.0
0.000 3.542 3.542
3.542 0.000 3.542
3.542 3.542 0.000
Th U Sc
1 1 1
direct
0.250 0.250 0.250
0.750 0.750 0.750
0.000 0.000 0.000
```

SG ... F-43m
Energy of formation ... 1122 meV per atom
Energy above the lowest structure with this stoichiometry ... 0.000 eV/atom
Size of the total moment ... 2.88 μB per formula unit



Entry 8:
Below is a relaxed structure of YThSc, with properties calculated at the GGA-PBE level.

```
YThSc
1.0
0.000 3.728 3.728
3.728 0.000 3.728
3.728 3.728 0.000
Th Y Sc
1 1 1
direct
0.250 0.250 0.250
0.750 0.750 0.750
0.000 0.000 0.000
```

SG ... F-43m
Energy of formation ... 733 meV per atom
Energy above the lowest structure with this stoichiometry ... 0.000 eV/atom
Size of the total moment ... 0.10 μB per formula unit



Entry 9:
Below is a relaxed structure of TmScTl4, with properties calculated at the GGA-PBE level.

```
TmScTl4
1.0
4.585 0.000 0.000
0.000 2.301 7.062
0.000 -2.301 7.062
Tm Tl Sc
1 4 1
direct
0.000 0.657 0.657
0.500 0.178 0.178
0.500 0.826 0.826
0.500 0.498 0.498
0.000 0.997 0.997
0.000 0.345 0.345
```

Final energy ... -3.55 eV per atom
SG ... Amm2
Size of the total moment ... 0.01 μB per formula unit



Entry 10:
Below is a relaxed structure of ScTl2W, with properties calculated at the GGA-PBE level.

```
ScTl2W
1.0
2.446 -4.217 -0.882
3.325 -1.666 3.273
-0.983 -4.043 2.690
W Tl Sc
1 2 1
direct
0.500 0.500 0.500
0.250 0.250 0.250
0.000 0.000 0.000
0.750 0.750 0.750
```

Final energy ... -5.14 eV per atom
SG ... F-43m
Size of the total moment ... 0.03 μB per formula unit



Entry 11:
Below is a relaxed structure of ScTl2Zn, with properties calculated at the GGA-PBE level.

```
ScTl2Zn
1.0
1.612 -4.168 -2.535
2.399 -3.776 2.528
-2.352 -4.511 0.715
Zn Tl Sc
1 2 1
direct
0.250 0.250 0.250
0.000 0.000 0.000
0.750 0.750 0.750
0.500 0.500 0.500
```

Final energy ... -2.99 eV per atom
SG ... F-43m
Size of the total moment ... 0.01 μB per formula unit



Entry 12:
Below is a relaxed structure of ScTl2Zn, with properties calculated at the GGA-PBE level.

```
ScTl2Zn
1.0
2.569 1.483 4.195
-2.569 1.483 4.195
0.000 -2.966 4.195
Tl Sc Zn
2 1 1
direct
0.000 0.000 0.000
0.750 0.750 0.750
0.250 0.250 0.250
0.500 0.500 0.500
```

Final energy ... -2.99 eV per atom
SG ... F-43m
Size of the total moment ... 0.01 μB per formula unit



Entry 13:
Below is a relaxed structure of Zr2ScTl, with properties calculated at the GGA-PBE level.

```
Zr2ScTl
1.0
-4.642 -0.785 1.792
-3.459 -2.269 -2.874
-1.517 -4.675 1.103
Zr Tl Sc
2 1 1
direct
0.750 0.750 0.750
0.000 0.000 0.000
0.500 0.500 0.500
0.250 0.250 0.250
```

Final energy ... -6.41 eV per atom
SG ... F-43m
Size of the total moment ... 1.21 μB per formula unit



Entry 14:
Below is a relaxed structure of TmSc2, with properties calculated at the GGA-PBE level.

```
TmSc2
1.0
4.456 0.000 0.000
0.000 4.456 0.000
0.000 0.000 8.033
Sc Tm
4 2
direct
0.500 0.000 0.292
0.000 0.000 0.000
0.500 0.500 0.000
0.000 0.500 0.708
0.500 0.000 0.692
0.000 0.500 0.308
```

SG ... P4/nmm
Energy of formation ... 220 meV per atom
Energy above the lowest structure with this stoichiometry ... 0.192 eV/atom
Size of the total moment ... 0.00 μB per formula unit



Entry 15:
Below is a relaxed structure of TmSc2, with properties calculated at the GGA-PBE level.

```
TmSc2
1.0
1.464 7.366 0.626
-3.770 -5.793 3.004
3.604 -0.946 2.700
Sc Tm
4 2
direct
0.914 0.086 0.750
0.086 0.914 0.250
0.251 0.749 0.750
0.749 0.251 0.250
0.415 0.585 0.250
0.585 0.415 0.750
```

SG ... Cmcm
Energy of formation ... 65 meV per atom
Energy above the lowest structure with this stoichiometry ... 0.037 eV/atom
Size of the total moment ... 0.00 μB per formula unit



Entry 16:
Below is a relaxed structure of TmSc, with properties calculated at the GGA-PBE level.

```
TmSc
1.0
3.419 0.000 0.000
-1.709 2.961 0.000
0.000 0.000 5.335
Tm Sc
1 1
direct
0.333 0.667 0.250
0.667 0.333 0.750
```

SG ... P-6m2
Energy of formation ... 26 meV per atom
Energy above the lowest structure with this stoichiometry ... 0.000 eV/atom
Size of the total moment ... 0.24 μB per formula unit



Entry 17:
Below is a relaxed structure of TmSc, with properties calculated at the GGA-PBE level.

```
TmSc
1.0
0.000 3.059 3.059
3.059 0.000 3.059
3.059 3.059 0.000
Sc Tm
1 1
direct
0.000 0.000 0.000
0.500 0.500 0.500
```

SG ... Fm-3m
Energy of formation ... 799 meV per atom
Energy above the lowest structure with this stoichiometry ... 0.773 eV/atom
Size of the total moment ... 1.48 μB per formula unit



Entry 18:
Below is a relaxed structure of TmSc2, with properties calculated at the GGA-PBE level.

```
TmSc2
1.0
-1.681 2.412 1.596
-2.360 1.732 -1.620
-4.009 -6.669 2.255
Sc Tm
2 1
direct
0.778 0.778 0.342
0.222 0.222 0.658
0.000 0.000 0.000
```

SG ... C2/m
Energy of formation ... 28 meV per atom
Energy above the lowest structure with this stoichiometry ... 0.000 eV/atom
Size of the total moment ... 0.02 μB per formula unit



Entry 19:
Below is a relaxed structure of TmSc, with properties calculated at the GGA-PBE level.

```
TmSc
1.0
0.000 3.270 3.270
3.270 0.000 3.270
3.270 3.270 0.000
Sc Tm
1 1
direct
0.000 0.000 0.000
0.250 0.250 0.250
```

SG ... F-43m
Energy of formation ... 2019 meV per atom
Energy above the lowest structure with this stoichiometry ... 1.993 eV/atom
Size of the total moment ... 0.27 μB per formula unit



Entry 20:
Below is a relaxed structure of TmSc2, with properties calculated at the GGA-PBE level.

```
TmSc2
1.0
4.082 2.357 6.666
-4.082 2.357 6.666
0.000 -4.713 6.666
Sc Tm
4 2
direct
0.875 0.375 0.375
0.375 0.375 0.375
0.375 0.375 0.875
0.375 0.875 0.375
0.500 0.500 0.500
0.250 0.250 0.250
```

SG ... Fd-3m
Energy of formation ... 2877 meV per atom
Energy above the lowest structure with this stoichiometry ... 2.849 eV/atom
Size of the total moment ... 0.11 μB per formula unit